Record 1
Below is crystalline SrCdNi2 at its relaxed geometry, with properties calculated at the GGA-PBEsol level.

Cell and atoms, written as POSCAR:
```
SrCdNi2
1.0
4.5309 0.0000 0.0000
0.0000 4.5309 0.0000
0.0000 0.0000 3.4231
Sr Cd Ni
1 1 2
direct
0.0000 0.0000 0.0000 Sr
0.5000 0.5000 0.0000 Cd
0.0000 0.5000 0.5000 Ni
0.5000 0.0000 0.5000 Ni
```

Calculated values
SG: P4/mmm, No. 123
energy of formation: 0.254 eV/atom


Record 2
Below is crystalline CrHgIN2 at its relaxed geometry, with properties calculated at the GGA-PBEsol level.

Cell and atoms, written as POSCAR:
```
CrHgIN2
1.0
4.1285 0.0000 0.0000
0.0000 4.1285 0.0000
0.0000 0.0000 7.1263
Cr Hg I N
1 1 1 2
direct
0.0000 0.0000 0.0000 Cr
0.5000 0.5000 0.5000 Hg
0.5000 0.5000 0.0000 I
0.0000 0.5000 0.5000 N
0.5000 0.0000 0.5000 N
```

Calculated values
SG: P4/mmm, No. 123
energy relative to the elements, uncorrected: 1.932 eV per atom


Record 3
Below is crystalline YTcTe2I at its relaxed geometry, with properties calculated at the GGA-PBEsol level.

Cell and atoms, written as POSCAR:
```
YTcTe2I
1.0
5.7825 0.0000 0.0000
0.0000 5.7825 0.0000
0.0000 0.0000 5.6986
Y Tc Te I
1 1 2 1
direct
0.0000 0.0000 0.0000 Y
0.5000 0.5000 0.5000 Tc
0.0000 0.5000 0.0000 Te
0.5000 0.0000 0.0000 Te
0.0000 0.0000 0.5000 I
```

Calculated values
SG: P4/mmm, No. 123
energy relative to the elements, uncorrected: 0.630 eV per atom


Record 4
Below is crystalline ScNbAuSe2 at its relaxed geometry, with properties calculated at the GGA-PBEsol level.

Cell and atoms, written as POSCAR:
```
ScNbAuSe2
1.0
4.8441 0.0000 0.0000
0.0000 4.8441 0.0000
0.0000 0.0000 5.1943
Sc Nb Au Se
1 1 1 2
direct
0.0000 0.0000 0.0000 Sc
0.0000 0.0000 0.5000 Nb
0.5000 0.5000 0.5000 Au
0.0000 0.5000 0.0000 Se
0.5000 0.0000 0.0000 Se
```

Calculated values
SG: P4/mmm, No. 123
energy relative to the elements, uncorrected: 0.730 eV per atom


Record 5
Below is crystalline ZrHgNF2 at its relaxed geometry, with properties calculated at the GGA-PBEsol level.

Cell and atoms, written as POSCAR:
```
ZrHgNF2
1.0
4.3572 0.0000 0.0000
0.0000 4.3572 0.0000
0.0000 0.0000 4.1545
Zr Hg N F
1 1 1 2
direct
0.0000 0.0000 0.0000 Zr
0.5000 0.5000 0.5000 Hg
0.5000 0.5000 0.0000 N
0.0000 0.5000 0.5000 F
0.5000 0.0000 0.5000 F
```

Calculated values
SG: P4/mmm, No. 123
energy relative to the elements, uncorrected: -0.049 eV per atom


Record 6
Below is crystalline MgTl2Cd at its relaxed geometry, with properties calculated at the GGA-PBEsol level.

Cell and atoms, written as POSCAR:
```
MgTl2Cd
1.0
11.4318 0.0000 0.0000
0.0000 3.3724 0.0000
-1.7783 0.0000 5.1001
Mg Tl Cd
2 4 2
direct
0.0000 0.0000 0.0000 Mg
0.5000 0.5000 0.0000 Mg
0.2505 0.0000 0.8422 Tl
0.4778 0.0000 0.4900 Tl
0.7505 0.5000 0.8422 Tl
0.9778 0.5000 0.4900 Tl
0.2219 0.5000 0.3236 Cd
0.7219 0.0000 0.3236 Cd
```

Calculated values
SG: Cm, No. 8
energy of formation: -0.010 eV/atom


Record 7
Below is crystalline BaYPb2 at its relaxed geometry, with properties calculated at the GGA-PBEsol level.

Cell and atoms, written as POSCAR:
```
BaYPb2
1.0
3.6610 0.0000 0.0000
0.0000 4.4830 0.0000
0.0000 0.0000 7.6481
Ba Y Pb
1 1 2
direct
0.0000 0.0000 0.0000 Ba
0.0000 0.0000 0.5000 Y
0.5000 0.5000 0.2896 Pb
0.5000 0.5000 0.7104 Pb
```

Calculated values
SG: Pmmm, No. 47
energy of formation: -0.558 eV/atom


Record 8
Below is crystalline Zn5Ag at its relaxed geometry, with properties calculated at the GGA-PBEsol level.

Cell and atoms, written as POSCAR:
```
Zn5Ag
1.0
2.7653 0.0000 0.0000
0.0000 2.7653 0.0000
0.0000 0.0000 11.3004
Zn Ag
5 1
direct
0.0000 0.0000 0.0000 Zn
0.0000 0.0000 0.3245 Zn
0.0000 0.0000 0.6755 Zn
0.5000 0.5000 0.1631 Zn
0.5000 0.5000 0.8369 Zn
0.5000 0.5000 0.5000 Ag
```

Calculated values
SG: P4/mmm, No. 123
energy of formation: -0.001 eV/atom


Record 9
Below is crystalline Ta2AgRu at its relaxed geometry, with properties calculated at the GGA-PBEsol level.

Cell and atoms, written as POSCAR:
```
Ta2AgRu
1.0
2.8408 0.0000 0.0000
-1.4204 2.4602 0.0000
0.0000 0.0000 28.0499
Ta Ag Ru
6 3 3
direct
0.0000 0.0000 0.2450 Ta
0.0000 0.0000 0.7550 Ta
0.3333 0.6667 0.4216 Ta
0.3333 0.6667 0.9117 Ta
0.6667 0.3333 0.0883 Ta
0.6667 0.3333 0.5784 Ta
0.0000 0.0000 0.0000 Ag
0.3333 0.6667 0.6667 Ag
0.6667 0.3333 0.3333 Ag
0.0000 0.0000 0.5000 Ru
0.3333 0.6667 0.1667 Ru
0.6667 0.3333 0.8333 Ru
```

Calculated values
SG: R-3m, No. 166
energy of formation: 0.175 eV/atom


Record 10
Below is crystalline HgOs2Ru at its relaxed geometry, with properties calculated at the GGA-PBEsol level.

Cell and atoms, written as POSCAR:
```
HgOs2Ru
1.0
2.7372 0.0000 0.0000
0.0000 4.7517 0.0000
0.0000 0.0000 9.5725
Hg Os Ru
2 4 2
direct
0.0000 0.0000 0.0000 Hg
0.5000 0.5000 0.0000 Hg
0.0000 0.5000 0.2711 Os
0.0000 0.5000 0.7289 Os
0.5000 0.0000 0.2711 Os
0.5000 0.0000 0.7289 Os
0.0000 0.0000 0.5000 Ru
0.5000 0.5000 0.5000 Ru
```

Calculated values
SG: Cmmm, No. 65
energy of formation: 0.792 eV/atom


Record 11
Below is crystalline Sr2BePb at its relaxed geometry, with properties calculated at the GGA-PBEsol level.

Cell and atoms, written as POSCAR:
```
Sr2BePb
1.0
3.9114 0.0000 0.0000
0.0000 4.9498 0.0000
0.0000 0.0000 6.7553
Sr Be Pb
2 1 1
direct
0.0000 0.0000 0.0000 Sr
0.5000 0.5000 0.3762 Sr
0.0000 0.0000 0.5308 Be
0.5000 0.5000 0.8428 Pb
```

Calculated values
SG: Pmm2, No. 25
energy of formation: 0.271 eV/atom


Record 12
Below is crystalline KCr2Ir at its relaxed geometry, with properties calculated at the GGA-PBEsol level.

Cell and atoms, written as POSCAR:
```
KCr2Ir
1.0
6.5294 0.0000 0.0000
0.0000 6.5294 0.0000
0.0000 0.0000 6.5294
K Cr Ir
4 8 4
direct
0.0000 0.0000 0.0000 K
0.0000 0.5000 0.5000 K
0.5000 0.0000 0.5000 K
0.5000 0.5000 0.0000 K
0.2500 0.2500 0.2500 Cr
0.2500 0.2500 0.7500 Cr
0.2500 0.7500 0.2500 Cr
0.2500 0.7500 0.7500 Cr
0.7500 0.2500 0.2500 Cr
0.7500 0.2500 0.7500 Cr
0.7500 0.7500 0.2500 Cr
0.7500 0.7500 0.7500 Cr
0.0000 0.0000 0.5000 Ir
0.0000 0.5000 0.0000 Ir
0.5000 0.0000 0.0000 Ir
0.5000 0.5000 0.5000 Ir
```

Calculated values
SG: Fm-3m, No. 225
energy of formation: 1.334 eV/atom


Record 13
Below is crystalline TaCrAs2 at its relaxed geometry, with properties calculated at the GGA-PBEsol level.

Cell and atoms, written as POSCAR:
```
TaCrAs2
1.0
4.3832 0.0000 0.0000
0.0000 4.3832 0.0000
0.0000 0.0000 3.1090
Ta Cr As
1 1 2
direct
0.0000 0.0000 0.0000 Ta
0.5000 0.5000 0.0000 Cr
0.0000 0.5000 0.5000 As
0.5000 0.0000 0.5000 As
```

Calculated values
SG: P4/mmm, No. 123
energy of formation: -0.102 eV/atom


Record 14
Below is crystalline BeZnOs3 at its relaxed geometry, with properties calculated at the GGA-PBEsol level.

Cell and atoms, written as POSCAR:
```
BeZnOs3
1.0
4.4044 0.0000 0.0000
0.0000 4.4044 0.0000
0.0000 0.0000 4.4044
Be Zn Os
1 1 3
direct
0.0000 0.0000 0.0000 Be
0.5000 0.5000 0.5000 Zn
0.0000 0.5000 0.5000 Os
0.5000 0.0000 0.5000 Os
0.5000 0.5000 0.0000 Os
```

Calculated values
SG: Pm-3m, No. 221
energy of formation: 2.476 eV/atom


Record 15
Below is crystalline InRe2Br at its relaxed geometry, with properties calculated at the GGA-PBEsol level.

Cell and atoms, written as POSCAR:
```
InRe2Br
1.0
6.5066 0.0000 0.0000
0.0000 6.5066 0.0000
0.0000 0.0000 6.5066
In Re Br
4 8 4
direct
0.0000 0.0000 0.0000 In
0.0000 0.5000 0.5000 In
0.5000 0.0000 0.5000 In
0.5000 0.5000 0.0000 In
0.0000 0.0000 0.5000 Re
0.0000 0.5000 0.0000 Re
0.2500 0.2500 0.7500 Re
0.2500 0.7500 0.2500 Re
0.5000 0.0000 0.0000 Re
0.5000 0.5000 0.5000 Re
0.7500 0.2500 0.2500 Re
0.7500 0.7500 0.7500 Re
0.2500 0.2500 0.2500 Br
0.2500 0.7500 0.7500 Br
0.7500 0.2500 0.7500 Br
0.7500 0.7500 0.2500 Br
```

Calculated values
SG: F-43m, No. 216
energy relative to the elements, uncorrected: 1.278 eV per atom


Record 16
Below is crystalline FeAg2Sb at its relaxed geometry, with properties calculated at the GGA-PBEsol level.

Cell and atoms, written as POSCAR:
```
FeAg2Sb
1.0
3.9401 0.0000 0.0000
0.0000 3.9401 0.0000
0.0000 0.0000 4.3463
Fe Ag Sb
1 2 1
direct
0.0000 0.0000 0.0000 Fe
0.0000 0.5000 0.5000 Ag
0.5000 0.0000 0.5000 Ag
0.5000 0.5000 0.0000 Sb
```

Calculated values
SG: P4/mmm, No. 123
energy relative to the elements, uncorrected: 0.259 eV per atom


Record 17
Below is crystalline Cu2AsPt at its relaxed geometry, with properties calculated at the GGA-PBEsol level.

Cell and atoms, written as POSCAR:
```
Cu2AsPt
1.0
3.6759 0.0000 0.0000
0.0000 3.6992 0.0000
0.0000 0.0000 7.9330
Cu As Pt
4 2 2
direct
0.0000 0.0000 0.2492 Cu
0.0000 0.0000 0.7508 Cu
0.5000 0.5000 0.2508 Cu
0.5000 0.5000 0.7492 Cu
0.0000 0.5000 0.5000 As
0.5000 0.0000 0.0000 As
0.0000 0.5000 0.0000 Pt
0.5000 0.0000 0.5000 Pt
```

Calculated values
SG: Immm, No. 71
energy of formation: -0.064 eV/atom


Record 18
Below is crystalline BaCaBr2 at its relaxed geometry, with properties calculated at the GGA-PBEsol level.

Cell and atoms, written as POSCAR:
```
BaCaBr2
1.0
5.3700 0.0000 0.0000
0.0000 5.3700 0.0000
0.0000 0.0000 8.2039
Ba Ca Br
2 2 4
direct
0.0000 0.0000 0.0000 Ba
0.5000 0.5000 0.5000 Ba
0.0000 0.0000 0.5000 Ca
0.5000 0.5000 0.0000 Ca
0.0000 0.5000 0.2500 Br
0.0000 0.5000 0.7500 Br
0.5000 0.0000 0.2500 Br
0.5000 0.0000 0.7500 Br
```

Calculated values
SG: I4/mmm, No. 139
energy relative to the elements, uncorrected: -1.244 eV per atom


Record 19
Below is crystalline NbFeTcOs2 at its relaxed geometry, with properties calculated at the GGA-PBEsol level.

Cell and atoms, written as POSCAR:
```
NbFeTcOs2
1.0
4.6752 0.0000 0.0000
0.0000 4.6752 0.0000
0.0000 0.0000 4.5891
Nb Fe Tc Os
1 1 1 2
direct
0.0000 0.0000 0.0000 Nb
0.5000 0.5000 0.5000 Fe
0.0000 0.0000 0.5000 Tc
0.0000 0.5000 0.0000 Os
0.5000 0.0000 0.0000 Os
```

Calculated values
SG: P4/mmm, No. 123
energy of formation: 2.479 eV/atom


Record 20
Below is crystalline DyB4Ir2Rh2 at its relaxed geometry, with properties calculated at the GGA-PBEsol level.

Cell and atoms, written as POSCAR:
```
DyB4Ir2Rh2
1.0
5.3171 0.0000 0.0000
0.0000 5.3171 0.0000
0.0000 0.0000 7.3776
Dy B Ir Rh
2 8 4 4
direct
0.0000 0.5000 0.0000 Dy
0.5000 0.0000 0.5000 Dy
0.0000 0.1703 0.3519 B
0.0000 0.8297 0.3519 B
0.1703 0.0000 0.8519 B
0.3272 0.5000 0.6557 B
0.5000 0.3272 0.1557 B
0.5000 0.6728 0.1557 B
0.6728 0.5000 0.6557 B
0.8297 0.0000 0.8519 B
0.2478 0.5000 0.3581 Ir
0.5000 0.2478 0.8581 Ir
0.5000 0.7522 0.8581 Ir
0.7522 0.5000 0.3581 Ir
0.0000 0.2506 0.6468 Rh
0.0000 0.7494 0.6468 Rh
0.2506 0.0000 0.1468 Rh
0.7494 0.0000 0.1468 Rh
```

Calculated values
SG: P4_2mc, No. 105
energy of formation: -0.608 eV/atom


Record 21
Below is crystalline CaBeBr at its relaxed geometry, with properties calculated at the GGA-PBEsol level.

Cell and atoms, written as POSCAR:
```
CaBeBr
1.0
6.7702 0.0000 0.0000
0.0000 6.7702 0.0000
0.0000 0.0000 6.7702
Ca Be Br
4 4 4
direct
0.0000 0.0000 0.0000 Ca
0.0000 0.5000 0.5000 Ca
0.5000 0.0000 0.5000 Ca
0.5000 0.5000 0.0000 Ca
0.2500 0.2500 0.2500 Be
0.2500 0.7500 0.7500 Be
0.7500 0.2500 0.7500 Be
0.7500 0.7500 0.2500 Be
0.0000 0.0000 0.5000 Br
0.0000 0.5000 0.0000 Br
0.5000 0.0000 0.0000 Br
0.5000 0.5000 0.5000 Br
```

Calculated values
SG: F-43m, No. 216
energy relative to the elements, uncorrected: 0.228 eV per atom


Record 22
Below is crystalline MoWN2F at its relaxed geometry, with properties calculated at the GGA-PBEsol level.

Cell and atoms, written as POSCAR:
```
MoWN2F
1.0
3.9580 0.0000 0.0000
0.0000 3.9580 0.0000
0.0000 0.0000 3.8384
Mo W N F
1 1 2 1
direct
0.0000 0.0000 0.0000 Mo
0.5000 0.5000 0.5000 W
0.0000 0.5000 0.0000 N
0.5000 0.0000 0.0000 N
0.0000 0.0000 0.5000 F
```

Calculated values
SG: P4/mmm, No. 123
energy relative to the elements, uncorrected: 0.620 eV per atom


Record 23
Below is crystalline Li2CaMg2 at its relaxed geometry, with properties calculated at the GGA-PBEsol level.

Cell and atoms, written as POSCAR:
```
Li2CaMg2
1.0
8.5017 0.0000 0.0000
0.0000 8.5017 0.0000
0.0000 0.0000 3.3720
Li Ca Mg
4 2 4
direct
0.1661 0.3339 0.0000 Li
0.3339 0.8339 0.0000 Li
0.6661 0.1661 0.0000 Li
0.8339 0.6661 0.0000 Li
0.0000 0.0000 0.5000 Ca
0.5000 0.5000 0.5000 Ca
0.1279 0.6279 0.5000 Mg
0.3721 0.1279 0.5000 Mg
0.6279 0.8721 0.5000 Mg
0.8721 0.3721 0.5000 Mg
```

Calculated values
SG: P4/mbm, No. 127
energy of formation: 0.004 eV/atom


Record 24
Below is crystalline Sc2CoPbN at its relaxed geometry, with properties calculated at the GGA-PBEsol level.

Cell and atoms, written as POSCAR:
```
Sc2CoPbN
1.0
5.3381 0.0000 0.0000
0.0000 5.3381 0.0000
0.0000 0.0000 4.6172
Sc Co Pb N
2 1 1 1
direct
0.0000 0.5000 0.0000 Sc
0.5000 0.0000 0.0000 Sc
0.0000 0.0000 0.5000 Co
0.0000 0.0000 0.0000 Pb
0.5000 0.5000 0.5000 N
```

Calculated values
SG: P4/mmm, No. 123
energy relative to the elements, uncorrected: 1.685 eV per atom


Record 25
Below is crystalline BeBiN2F at its relaxed geometry, with properties calculated at the GGA-PBEsol level.

Cell and atoms, written as POSCAR:
```
BeBiN2F
1.0
3.7019 0.0000 0.0000
0.0000 3.7019 0.0000
0.0000 0.0000 3.6420
Be Bi N F
1 1 2 1
direct
0.0000 0.0000 0.0000 Be
0.5000 0.5000 0.5000 Bi
0.0000 0.5000 0.0000 N
0.5000 0.0000 0.0000 N
0.0000 0.0000 0.5000 F
```

Calculated values
SG: P4/mmm, No. 123
energy relative to the elements, uncorrected: -0.150 eV per atom


Record 26
Below is crystalline Al3Ag7 at its relaxed geometry, with properties calculated at the GGA-PBEsol level.

Cell and atoms, written as POSCAR:
```
Al3Ag7
1.0
2.9177 0.0000 0.0000
0.0000 3.9608 0.0000
0.0000 0.0000 14.1023
Al Ag
3 7
direct
0.0000 0.0000 0.0000 Al
0.0000 0.0000 0.2018 Al
0.5000 0.5000 0.8940 Al
0.0000 0.0000 0.3962 Ag
0.0000 0.0000 0.6009 Ag
0.0000 0.0000 0.8090 Ag
0.5000 0.5000 0.0900 Ag
0.5000 0.5000 0.2900 Ag
0.5000 0.5000 0.4972 Ag
0.5000 0.5000 0.7021 Ag
```

Calculated values
SG: Pmm2, No. 25
energy of formation: -0.046 eV/atom


Record 27
Below is crystalline EuP3O9 at its relaxed geometry, with properties calculated at the GGA-PBEsol level.

Cell and atoms, written as POSCAR:
```
EuP3O9
1.0
4.2560 -5.5699 0.0000
4.2560 5.5699 0.0000
0.0000 0.0000 7.2783
Eu P O
2 6 18
direct
0.1225 0.1225 0.0000 Eu
0.8775 0.8775 0.5000 Eu
0.2494 0.2494 0.5000 P
0.3139 0.6637 0.0451 P
0.3363 0.6861 0.4549 P
0.6637 0.3139 0.9549 P
0.6861 0.3363 0.5451 P
0.7506 0.7506 0.0000 P
0.1311 0.1724 0.3298 O
0.1724 0.1311 0.6702 O
0.1759 0.7890 0.4626 O
0.2110 0.8241 0.0374 O
0.2152 0.4678 0.9621 O
0.2526 0.4715 0.5463 O
0.3763 0.6237 0.2500 O
0.4678 0.2152 0.0379 O
0.4715 0.2526 0.4537 O
0.5285 0.7474 0.9537 O
0.5322 0.7848 0.5379 O
0.6237 0.3763 0.7500 O
0.7474 0.5285 0.0463 O
0.7848 0.5322 0.4621 O
0.7890 0.1759 0.5374 O
0.8241 0.2110 0.9626 O
0.8276 0.8689 0.1702 O
0.8689 0.8276 0.8298 O
```

Calculated values
SG: C222_1, No. 20
energy relative to the elements, uncorrected: -2.376 eV per atom